VASP calculation (GGA+U) on a relaxed structure of Ca2WO5.

Energy: -55.346 eV/f.u.
Energy above the most stable polymorph in this dataset: 239.4 meV/atom
Crystal system: orthorhombic

abc: 16.782 4.895 5.775
angles: 90.00 90.00 90.00
Space group Ima2 (No. 46)
Asymmetric unit:
1 Ca 0.158 0.071 0.000 x8
2 W 0.000 0.000 0.594 x4
3 O 0.039 0.243 0.354 x8
4 O 0.102 0.650 0.136 x8
5 O 0.250 0.217 0.263 x4